[1]
Material: Ni2WAu
Method: DFT, PBE
State: relaxed

Output
As for the spin magnetization: 0.0000 μB per atom. As for the energy above the lowest structure with this stoichiometry: 0.236 eV per atom. As for the volume: 55.5 Å³ per cell. For the calculated formation energy, the calculation gives 0.266 eV per atom.

abc: 2.776 4.472 4.472
angles: 90.00 90.00 90.00
Element x y z (fractional)
Ni: 0.000 0.000 0.000
Ni: 0.000 0.500 0.500
Au: 0.500 0.000 0.500
W: 0.500 0.500 0.000

---

[2]
Material: NiWAu2
Method: DFT, PBE
State: relaxed

Output
As for the spin magnetization: 0.0000 μB per atom. As for the energy above the lowest structure with this stoichiometry: 0.228 eV per atom. As for the volume: 62.8 Å³ per cell. For the calculated formation energy, the calculation gives 0.352 eV per atom.

abc: 2.775 3.985 5.680
angles: 90.00 90.00 90.00
Element x y z (fractional)
Ni: 0.500 0.500 0.250
Au: 0.000 0.000 0.005
Au: 0.000 0.000 0.495
W: 0.500 0.500 0.750

---

[3]
Material: NiWAu2
Method: DFT, PBE
State: relaxed

Output
As for the spin magnetization: 0.7320 μB per atom. As for the energy above the lowest structure with this stoichiometry: 0.475 eV per atom. As for the volume: 64.3 Å³ per cell. For the calculated formation energy, the calculation gives 0.599 eV per atom.

abc: 4.027 3.997 3.997
angles: 90.00 90.00 90.00
Last column: magnetic moment on the atom in μB.
Element x y z (fractional)
Au: 0.000 0.500 0.500  0.20
Au: 0.000 0.000 0.000  0.20
Ni: 0.500 0.500 0.000  0.85
W: 0.500 0.000 0.500  1.37

---

[4]
Material: NiWAu2
Method: DFT, PBE
State: relaxed

Output
As for the spin magnetization: 0.0002 μB per atom. As for the energy above the lowest structure with this stoichiometry: 0.320 eV per atom. As for the volume: 62.9 Å³ per cell. For the calculated formation energy, the calculation gives 0.444 eV per atom.

abc: 5.469 5.469 5.469
angles: 150.04 129.07 60.22
Element x y z (fractional)
Au: 0.766 0.766 0.000
W: 0.500 0.000 0.500
Au: 0.234 0.234 0.000
Ni: 0.000 0.500 0.500

---

[5]
Material: NiWAu2
Method: DFT, PBE
State: relaxed

Output
As for the spin magnetization: 0.0000 μB per atom. As for the energy above the lowest structure with this stoichiometry: 0.089 eV per atom. As for the volume: 63.8 Å³ per cell. For the calculated formation energy, the calculation gives 0.214 eV per atom.

abc: 9.241 9.241 9.241
angles: 17.72 17.72 17.72
Element x y z (fractional)
W: 0.243 0.243 0.243
Ni: 0.504 0.504 0.504
Au: 0.997 0.997 0.997
Au: 0.757 0.757 0.757

---

[6]
Material: Ni2WAu
Method: DFT, PBE
State: relaxed

Output
As for the spin magnetization: 0.0000 μB per atom. As for the energy above the lowest structure with this stoichiometry: 0.152 eV per atom. As for the volume: 55.9 Å³ per cell. For the calculated formation energy, the calculation gives 0.182 eV per atom.

abc: 2.728 3.850 5.323
angles: 90.00 90.00 90.00
Element x y z (fractional)
W: 0.000 0.000 0.467
Au: 0.500 0.500 0.762
Ni: 0.000 0.000 0.017
Ni: 0.500 0.500 0.253

---

[7]
Material: Ni2WAu
Method: DFT, PBE
State: relaxed

Output
As for the spin magnetization: 0.0017 μB per atom. As for the energy above the lowest structure with this stoichiometry: 0.141 eV per atom. As for the volume: 55.6 Å³ per cell. For the calculated formation energy, the calculation gives 0.171 eV per atom.

abc: 2.758 2.758 7.304
angles: 90.00 90.00 90.00
Element x y z (fractional)
Ni: 0.500 0.500 0.237
Au: 0.500 0.500 0.766
Ni: 0.000 0.000 0.026
W: 0.000 0.000 0.470

---

[8]
Material: NiWAu2
Method: DFT, PBE
State: relaxed

Output
As for the spin magnetization: 0.1688 μB per atom. As for the energy above the lowest structure with this stoichiometry: 0.300 eV per atom. As for the volume: 63.6 Å³ per cell. For the calculated formation energy, the calculation gives 0.424 eV per atom.

abc: 6.387 4.941 2.748
angles: 89.94 64.61 121.81
Last column: magnetic moment on the atom in μB.
Element x y z (fractional)
Ni: 0.000 0.500 0.500  0.43
Au: 0.500 0.000 0.500  0.03
W: 0.500 0.500 0.000  0.17
Au: 0.000 0.000 0.000  0.03

---

[9]
Material: Ni2WAu
Method: DFT, PBE
State: relaxed

Output
As for the spin magnetization: 0.0000 μB per atom. As for the energy above the lowest structure with this stoichiometry: 0.235 eV per atom. As for the volume: 57.0 Å³ per cell. For the calculated formation energy, the calculation gives 0.264 eV per atom.

abc: 8.856 8.856 8.856
angles: 17.85 17.85 17.85
Element x y z (fractional)
Ni: 0.253 0.253 0.253
W: 0.508 0.508 0.508
Au: 0.745 0.745 0.745
Ni: 0.994 0.994 0.994

---

[10]
Material: NiWAu2
Method: DFT, PBE
State: relaxed

Output
As for the spin magnetization: 0.1570 μB per atom. As for the energy above the lowest structure with this stoichiometry: 0.349 eV per atom. As for the volume: 64.6 Å³ per cell. For the calculated formation energy, the calculation gives 0.473 eV per atom.

abc: 4.825 4.825 2.775
angles: 90.00 90.00 90.00
Last column: magnetic moment on the atom in μB.
Element x y z (fractional)
Ni: 0.500 0.000 0.500  0.58
Au: 0.000 0.000 0.000  0.01
Au: 0.500 0.500 0.000  0.01
W: 0.000 0.500 0.500  0.03

---

[11]
Material: Ni2WAu
Method: DFT, PBE
State: relaxed

Output
As for the spin magnetization: 0.0000 μB per atom. As for the energy above the lowest structure with this stoichiometry: 0.603 eV per atom. As for the volume: 122.0 Å³ per cell. For the calculated formation energy, the calculation gives 0.633 eV per atom.

abc: 6.743 6.743 5.471
angles: 51.96 51.96 90.00
Element x y z (fractional)
Au: 0.750 0.250 0.500
Au: 0.000 0.000 0.000
W: 0.500 0.500 0.000
Ni: 0.375 0.396 0.750
W: 0.250 0.750 0.500
Ni: 0.604 0.125 0.250
Ni: 0.146 0.625 0.250
Ni: 0.875 0.854 0.750

---

[12]
Material: Ni2W2Au
Method: DFT, PBE
State: relaxed

Output
As for the spin magnetization: 0.0000 μB per atom. As for the volume: 144.2 Å³ per cell. For the calculated formation energy, the calculation gives 0.238 eV per atom.

abc: 7.247 7.247 2.745
angles: 90.00 90.00 90.00
Element x y z (fractional)
W: 0.172 0.672 0.500
W: 0.828 0.328 0.500
Au: 0.000 0.000 0.000
W: 0.328 0.172 0.500
Au: 0.500 0.500 0.000
Ni: 0.379 0.879 0.000
W: 0.672 0.828 0.500
Ni: 0.879 0.621 0.000
Ni: 0.621 0.121 0.000
Ni: 0.121 0.379 0.000

---

[13]
Material: NiWAu2
Method: DFT, PBE
State: relaxed

Output
As for the spin magnetization: 0.0000 μB per atom. As for the energy above the lowest structure with this stoichiometry: 0.216 eV per atom. As for the volume: 64.1 Å³ per cell. For the calculated formation energy, the calculation gives 0.341 eV per atom.

abc: 5.601 5.601 5.601
angles: 151.42 129.85 58.74
Element x y z (fractional)
W: 0.278 0.778 0.500
Ni: 0.488 0.488 0.000
Au: 0.009 0.009 0.000
Au: 0.725 0.225 0.500

---

[14]
Material: NiWAu2
Method: DFT, PBE
State: relaxed

Output
As for the spin magnetization: 0.0000 μB per atom. As for the energy above the lowest structure with this stoichiometry: 0.315 eV per atom. As for the volume: 63.1 Å³ per cell. For the calculated formation energy, the calculation gives 0.439 eV per atom.

abc: 4.468 4.468 4.468
angles: 60.00 60.00 60.00
Element x y z (fractional)
Ni: 0.000 0.000 0.000
Au: 0.250 0.250 0.250
Au: 0.750 0.750 0.750
W: 0.500 0.500 0.500

---

[15]
Material: NiWAu2
Method: DFT, PBE
State: relaxed

Output
As for the spin magnetization: 0.0501 μB per atom. As for the energy above the lowest structure with this stoichiometry: 0.154 eV per atom. As for the volume: 62.2 Å³ per cell. For the calculated formation energy, the calculation gives 0.278 eV per atom.

abc: 2.829 2.829 7.772
angles: 90.00 90.00 90.00
Last column: magnetic moment on the atom in μB.
Element x y z (fractional)
Au: 0.000 0.000 0.485  0.00
Au: 0.000 0.000 0.015  0.00
W: 0.500 0.500 0.750  0.00
Ni: 0.500 0.500 0.250  0.21

---

[16]
Material: NiW3Au
Method: DFT, PBE
State: relaxed

Output
As for the spin magnetization: 0.0333 μB per atom. As for the energy above the lowest structure with this stoichiometry: 1.476 eV per atom. As for the volume: 111.0 Å³ per cell. For the calculated formation energy, the calculation gives 2.948 eV per atom.

abc: 4.806 4.806 4.806
angles: 90.00 90.00 90.00
Last column: magnetic moment on the atom in μB.
Element x y z (fractional)
W: 0.000 0.000 0.500  -0.01
W: 0.500 0.000 0.000  0.01
Au: 0.000 0.000 0.000  0.00
Ni: 0.500 0.500 0.500  0.18
W: 0.000 0.500 0.000  0.01

---

[17]
Material: Ni2WAu
Method: DFT, PBE
State: relaxed

Output
As for the spin magnetization: 0.0000 μB per atom. As for the energy above the lowest structure with this stoichiometry: 0.059 eV per atom. As for the volume: 55.9 Å³ per cell. For the calculated formation energy, the calculation gives 0.089 eV per atom.

abc: 2.746 3.557 5.720
angles: 90.00 90.00 90.00
Element x y z (fractional)
Ni: 0.000 0.000 0.475
Ni: 0.000 0.000 0.025
Au: 0.500 0.500 0.750
W: 0.500 0.500 0.250

---

[18]
Material: NiWAu2
Method: DFT, PBE
State: relaxed

Output
As for the spin magnetization: 0.0000 μB per atom. As for the energy above the lowest structure with this stoichiometry: 0.286 eV per atom. As for the volume: 62.7 Å³ per cell. For the calculated formation energy, the calculation gives 0.410 eV per atom.

abc: 4.717 4.717 4.717
angles: 128.40 128.40 75.98
Element x y z (fractional)
W: 0.750 0.250 0.500
Au: 0.000 0.000 0.000
Ni: 0.250 0.750 0.500
Au: 0.500 0.500 0.000

---

[19]
Material: Ni2WAu
Method: DFT, PBE
State: relaxed

Output
As for the spin magnetization: 0.0000 μB per atom. As for the energy above the lowest structure with this stoichiometry: 0.313 eV per atom. As for the volume: 56.3 Å³ per cell. For the calculated formation energy, the calculation gives 0.343 eV per atom.

abc: 4.301 4.301 4.301
angles: 60.00 60.00 60.00
Element x y z (fractional)
W: 0.750 0.750 0.750
Ni: 0.250 0.250 0.250
Au: 0.500 0.500 0.500
Ni: 0.000 0.000 0.000

---

[20]
Material: Ni2WAu
Method: DFT, PBE
State: relaxed

Output
As for the spin magnetization: 0.0000 μB per atom. As for the energy above the lowest structure with this stoichiometry: 0.133 eV per atom. As for the volume: 55.2 Å³ per cell. For the calculated formation energy, the calculation gives 0.163 eV per atom.

abc: 4.117 2.696 5.152
angles: 74.85 90.00 90.00
Element x y z (fractional)
Ni: 0.500 0.056 0.262
Ni: 0.000 0.189 0.999
W: 0.000 0.459 0.458
Au: 0.500 0.797 0.781

---

[21]
Material: Ni2WAu
Method: DFT, PBE
State: relaxed

Output
As for the spin magnetization: 0.0000 μB per atom. As for the energy above the lowest structure with this stoichiometry: 0.126 eV per atom. As for the volume: 56.6 Å³ per cell. For the calculated formation energy, the calculation gives 0.155 eV per atom.

abc: 4.480 4.480 4.944
angles: 81.42 81.42 35.30
Element x y z (fractional)
Au: 0.750 0.750 0.750
Ni: 0.997 0.997 0.031
W: 0.250 0.250 0.250
Ni: 0.503 0.503 0.469

---

[22]
Material: Ni2WAu
Method: DFT, PBE
State: relaxed

Output
As for the spin magnetization: 0.0000 μB per atom. As for the energy above the lowest structure with this stoichiometry: 0.000 eV per atom. As for the volume: 56.0 Å³ per cell. For the calculated formation energy, the calculation gives 0.030 eV per atom.

abc: 2.737 2.737 7.473
angles: 90.00 90.00 90.00
Element x y z (fractional)
Au: 0.500 0.500 0.750
W: 0.500 0.500 0.250
Ni: 0.000 0.000 0.014
Ni: 0.000 0.000 0.486

---

[23]
Material: Ni2WAu
Method: DFT, PBE
State: relaxed

Output
As for the spin magnetization: 0.0000 μB per atom. As for the energy above the lowest structure with this stoichiometry: 0.195 eV per atom. As for the volume: 55.3 Å³ per cell. For the calculated formation energy, the calculation gives 0.225 eV per atom.

abc: 5.200 5.200 5.200
angles: 148.93 129.70 60.31
Element x y z (fractional)
Ni: 0.758 0.258 0.500
Au: 0.240 0.740 0.500
Ni: 0.982 0.982 0.000
W: 0.520 0.520 0.000

---

[24]
Material: Ni2WAu
Method: DFT, PBE
State: relaxed

Output
As for the spin magnetization: 0.0000 μB per atom. As for the energy above the lowest structure with this stoichiometry: 0.168 eV per atom. As for the volume: 55.0 Å³ per cell. For the calculated formation energy, the calculation gives 0.198 eV per atom.

abc: 4.790 4.790 4.790
angles: 134.54 134.54 66.25
Element x y z (fractional)
Ni: 0.000 0.000 0.000
W: 0.500 0.500 0.000
Ni: 0.250 0.750 0.500
Au: 0.750 0.250 0.500

---

[25]
Material: Y5Ni2Au2
Method: DFT, PBE
State: relaxed

Output
As for the spin magnetization: 0.0000 μB per atom. As for the volume: 425.2 Å³ per cell. For the calculated formation energy, the calculation gives -0.557 eV per atom.

abc: 7.287 7.492 8.598
angles: 90.00 64.93 90.00
Element x y z (fractional)
Ni: 0.886 0.616 0.000
Y: 0.542 0.824 0.264
Y: 0.042 0.676 0.264
Y: 0.500 0.500 0.000
Y: 0.458 0.176 0.736
Y: 0.194 0.176 0.264
Ni: 0.114 0.384 0.000
Y: 0.694 0.324 0.264
Au: 0.290 0.500 0.419
Y: 0.806 0.824 0.736
Y: 0.958 0.324 0.736
Au: 0.790 0.000 0.419
Y: 0.000 0.000 0.000
Au: 0.210 0.000 0.581
Ni: 0.614 0.116 0.000
Y: 0.306 0.676 0.736
Au: 0.710 0.500 0.581
Ni: 0.386 0.884 0.000

---

[26]
Material: YNi3Au
Method: DFT, PBE
State: relaxed

Output
As for the spin magnetization: 0.0000 μB per atom. As for the energy above the lowest structure with this stoichiometry: 0.704 eV per atom. As for the volume: 98.6 Å³ per cell. For the calculated formation energy, the calculation gives 1.263 eV per atom.

abc: 4.620 4.620 4.620
angles: 90.00 90.00 90.00
Element x y z (fractional)
Ni: 0.500 0.000 0.000
Ni: 0.000 0.000 0.500
Ni: 0.000 0.500 0.000
Au: 0.500 0.500 0.500
Y: 0.000 0.000 0.000

---

[27]
Material: Y2Ni2Au
Method: DFT, PBE
State: relaxed

Output
As for the spin magnetization: 0.0000 μB per atom. As for the energy above the lowest structure with this stoichiometry: 0.032 eV per atom. As for the volume: 192.8 Å³ per cell. For the calculated formation energy, the calculation gives -0.571 eV per atom.

abc: 7.194 7.194 3.725
angles: 90.00 90.00 90.00
Element x y z (fractional)
Ni: 0.382 0.882 0.000
Y: 0.821 0.321 0.500
Ni: 0.118 0.382 0.000
Au: 0.000 0.000 0.000
Y: 0.679 0.821 0.500
Ni: 0.618 0.118 0.000
Y: 0.321 0.179 0.500
Y: 0.179 0.679 0.500
Ni: 0.882 0.618 0.000
Au: 0.500 0.500 0.000

---

[28]
Material: Y3Ni7Au2
Method: DFT, PBE
State: relaxed

Output
As for the spin magnetization: 0.0000 μB per atom. As for the volume: 190.8 Å³ per cell. For the calculated formation energy, the calculation gives -0.434 eV per atom.

abc: 5.128 5.128 8.887
angles: 73.23 73.23 60.00
Element x y z (fractional)
Ni: 0.411 0.411 0.264
Y: 0.860 0.860 0.420
Ni: 0.914 0.411 0.264
Ni: 0.500 0.500 0.500
Ni: 0.589 0.589 0.736
Ni: 0.086 0.589 0.736
Au: 0.334 0.334 0.999
Ni: 0.589 0.086 0.736
Au: 0.666 0.666 0.001
Y: 0.000 0.000 0.000
Y: 0.140 0.140 0.580
Ni: 0.411 0.914 0.264